An optimized crystal structure of Y4Si2Ge5. Source: the Alexandria database, functional PBE.

The structure in CIF format:
```
data_Y4Si2Ge5
_symmetry_space_group_name_H-M 'P 1 2/m 1'
_symmetry_Int_Tables_number 10
_symmetry_space_group_name_Hall '-P 2y'
_cell_length_a 6.9056
_cell_length_b 4.1464
_cell_length_c 8.1063
_cell_angle_alpha 90.00
_cell_angle_beta 93.08
_cell_angle_gamma 90.00
loop_
_atom_site_label
_atom_site_fract_x
_atom_site_fract_y
_atom_site_fract_z
Y1 0.2290 0.0000 0.3701
Y2 0.2427 0.0000 0.8923
Si1 0.0874 0.5000 0.1288
Ge1 0.1295 0.5000 0.6270
Ge2 0.4463 0.5000 0.1568
Ge3 0.5000 0.5000 0.5000
```

## Properties
The uncorrected formation energy is -0.686 eV/atom. For the total DFT energy (no corrections), the calculation gives -0.44988 Ry per atom.